Entry 1:
{
  "formula": "BaPmMnN4",
  "functional": "PBE-GGA",
  "state": "optimized geometry",
  "raw_formation_energy_ev_per_atom": -0.742,
  "crystal_system": "monoclinic",
  "lattice": [[5.814, 0.000, 0.000], [0.000, 5.578, 0.000], [-2.144, 0.000, 7.172]],
  "species": ["Ba", "Ba", "Pm", "Pm", "Mn", "Mn", "N", "N", "N", "N", "N", "N", "N", "N"],
  "frac_coords": [[0.220, 0.250, 0.428], [0.780, 0.750, 0.572], [0.270, 0.250, 0.950], [0.730, 0.750, 0.050], [0.275, 0.750, 0.177], [0.725, 0.250, 0.823], [0.091, 0.750, 0.319], [0.104, 0.750, 0.954], [0.462, 0.508, 0.216], [0.462, 0.992, 0.216], [0.538, 0.008, 0.784], [0.538, 0.492, 0.784], [0.896, 0.250, 0.046], [0.909, 0.250, 0.681]]
}

---

Entry 2:
{
  "formula": "Cd11GaPb",
  "functional": "PBE-GGA",
  "state": "optimized geometry",
  "e_form_ev_per_fu": 0.7,
  "crystal_system": "monoclinic",
  "lattice": [[3.043, -7.010, 0.000], [3.043, 7.010, 0.000], [-2.751, 0.000, 7.207]],
  "species": ["Cd", "Cd", "Cd", "Cd", "Cd", "Cd", "Cd", "Cd", "Cd", "Cd", "Cd", "Ga", "Pb"],
  "frac_coords": [[0.000, 0.000, 0.000], [0.000, 0.500, 0.500], [0.005, 0.220, 0.717], [0.159, 0.507, 0.149], [0.220, 0.005, 0.717], [0.493, 0.841, 0.851], [0.500, 0.000, 0.500], [0.507, 0.159, 0.149], [0.780, 0.995, 0.283], [0.841, 0.493, 0.851], [0.995, 0.780, 0.283], [0.500, 0.500, 0.000], [0.500, 0.500, 0.500]]
}

---

Entry 3:
{
  "formula": "ZrSiRu2",
  "functional": "PBE-GGA",
  "state": "optimized geometry",
  "raw_formation_energy_ev_per_atom": -0.409,
  "crystal_system": "monoclinic",
  "lattice": [[2.988, 0.000, 0.000], [0.000, 4.455, 0.000], [-1.079, 0.000, 4.718]],
  "species": ["Zr", "Si", "Ru", "Ru"],
  "frac_coords": [[0.000, 0.000, 0.000], [0.462, 0.500, 0.745], [0.430, 0.000, 0.514], [0.812, 0.500, 0.303]]
}

---

Entry 4:
{
  "formula": "Zr2Ti2Mo",
  "functional": "PBE-GGA",
  "state": "optimized geometry",
  "e_form_ev_per_fu": 0.7,
  "crystal_system": "tetragonal",
  "lattice": [[6.390, 0.000, 0.000], [0.000, 6.390, 0.000], [0.000, 0.000, 4.868]],
  "species": ["Zr", "Zr", "Zr", "Zr", "Ti", "Ti", "Ti", "Ti", "Mo", "Mo"],
  "frac_coords": [[0.168, 0.332, 0.000], [0.332, 0.832, 0.000], [0.668, 0.168, 0.000], [0.832, 0.668, 0.000], [0.148, 0.648, 0.500], [0.352, 0.148, 0.500], [0.648, 0.852, 0.500], [0.852, 0.352, 0.500], [0.000, 0.000, 0.500], [0.500, 0.500, 0.500]]
}

---

Entry 5:
{
  "formula": "LiCa2Cd",
  "functional": "PBE-GGA",
  "state": "optimized geometry",
  "relative_energy_mev_per_atom": 94,
  "e_form_ev_per_fu": -0.4,
  "crystal_system": "tetragonal",
  "lattice": [[-2.393, 2.393, 5.107], [2.393, -2.393, 5.107], [2.393, 2.393, -5.107]],
  "species": ["Li", "Ca", "Ca", "Cd"],
  "frac_coords": [[0.000, 0.000, 0.000], [0.250, 0.750, 0.500], [0.500, 0.500, 0.000], [0.750, 0.250, 0.500]]
}

---

Entry 6:
{
  "formula": "RbPtCl2",
  "functional": "PBE-GGA",
  "state": "optimized geometry",
  "relative_energy_mev_per_atom": 93,
  "raw_formation_energy_ev_per_atom": -0.597,
  "crystal_system": "tetragonal",
  "lattice": [[-2.952, 2.952, 7.390], [2.952, -2.952, 7.390], [2.952, 2.952, -7.390]],
  "species": ["Rb", "Rb", "Pt", "Pt", "Cl", "Cl", "Cl", "Cl"],
  "frac_coords": [[0.000, 0.000, 0.000], [0.750, 0.250, 0.500], [0.250, 0.750, 0.500], [0.500, 0.500, 0.000], [0.255, 0.625, 0.130], [0.375, 0.505, 0.630], [0.495, 0.125, 0.870], [0.875, 0.745, 0.370]]
}